No. 1
Compound: Ho2AlHg3
Source: the Alexandria database
Functional: PBE
Structure: relaxed

Total moment: 0.00 Bohr magnetons per cell
Electronic total energy: -2.698 eV/atom
Density of states at the Fermi level: 0.704 states/eV/atom

Cell: 5.932 5.932 9.034 Å, 103.22 103.22 107.65°
Fractional coordinates of all 12 atoms:
Al: 0.332 0.332 0.665
Hg: 0.174 0.654 0.829
Hg: 0.171 0.171 0.343
Hg: 0.829 0.829 0.657
Ho: 0.750 0.250 0.500
Ho: 0.756 0.756 0.000
Ho: 0.244 0.244 0.000
Ho: 0.250 0.750 0.500
Hg: 0.346 0.826 0.171
Al: 0.668 0.668 0.335
Hg: 0.654 0.174 0.829
Hg: 0.826 0.346 0.171

No. 2
Compound: Ho4Al2Hg5
Source: the Alexandria database
Functional: PBE
Structure: relaxed

Total moment: 0.00 Bohr magnetons per cell
Electronic total energy: -2.869 eV/atom
Density of states at the Fermi level: 0.571 states/eV/atom

Cell: 3.655 7.835 9.365 Å, 88.28 90.00 90.00°
Fractional coordinates of all 11 atoms:
Hg: 0.000 0.866 0.868
Ho: 0.500 0.747 0.603
Ho: 0.500 0.253 0.397
Ho: 0.500 0.206 0.863
Al: 0.000 0.067 0.623
Hg: 0.000 0.134 0.132
Al: 0.000 0.933 0.377
Hg: 0.000 0.420 0.653
Hg: 0.000 0.500 0.000
Hg: 0.000 0.580 0.347
Ho: 0.500 0.794 0.137

No. 3
Compound: Ho8Al2Hg
Source: the Alexandria database
Functional: PBE
Structure: relaxed

Total moment: 0.00 Bohr magnetons per cell
Electronic total energy: -4.227 eV/atom
Density of states at the Fermi level: 1.071 states/eV/atom

Cell: 5.051 6.968 9.333 Å, 103.61 105.70 90.00°
Fractional coordinates of all 11 atoms:
Ho: 0.595 0.465 0.190
Al: 0.191 0.724 0.381
Ho: 0.024 0.758 0.048
Hg: 0.500 0.000 0.000
Ho: 0.337 0.044 0.674
Ho: 0.663 0.956 0.326
Ho: 0.405 0.535 0.810
Ho: 0.799 0.703 0.597
Ho: 0.201 0.297 0.403
Al: 0.809 0.276 0.619
Ho: 0.976 0.242 0.952

No. 4
Compound: Ho3AlHg2
Source: the Alexandria database
Functional: PBE
Structure: relaxed

Total moment: 0.00 Bohr magnetons per cell
Electronic total energy: -3.453 eV/atom
Density of states at the Fermi level: 0.678 states/eV/atom

Cell: 3.694 5.164 15.567 Å, 90.00 90.00 90.00°
Fractional coordinates of all 12 atoms:
Ho: 0.500 0.500 0.000
Ho: 0.499 0.500 0.664
Ho: 0.501 0.000 0.164
Ho: 0.499 0.500 0.336
Al: 0.999 0.500 0.500
Hg: 0.000 0.500 0.163
Ho: 0.500 0.000 0.500
Al: 0.001 0.000 0.000
Ho: 0.501 0.000 0.836
Hg: 0.000 0.500 0.837
Hg: 0.000 0.000 0.663
Hg: 0.000 0.000 0.337